Entry from Alexandria: a relaxed Na2LiZrCo crystal (PBE).

The structure in extended XYZ format:
```
5
Lattice="4.2995 0.0000 0.0000 0.0000 4.2995 0.0000 0.0000 0.0000 4.9916" Properties=species:S:1:pos:R:3 pbc="T T T"
Na 0.0000 2.1497 0.0000
Na 2.1497 0.0000 0.0000
Li 0.0000 0.0000 0.0000
Zr 2.1497 2.1497 2.4958
Co 0.0000 0.0000 2.4958
```

Computed properties:
* formation energy from the elements: 903.4 meV/atom
* space group: No. 123
* uncorrected energy: -3.1378 eV per atom